VASP calculation (GGA-PBE) on YHfB2 after structural relaxation.

extended XYZ file:
```
8
Lattice="-2.952 1.251 -3.611 -1.488 -4.580 -0.370 -7.222 -0.405 2.535" Properties=species:S:1:pos:R:3 pbc="T T T"
Hf -6.197 -0.409 -1.534
B -9.405 -3.535 -1.609
Y -2.220 -1.664 -1.991
Hf 0.000 0.000 0.000
B -4.042 0.195 -1.921
B -6.978 -1.234 0.434
B -2.899 -2.894 0.202
Y -5.465 -3.325 0.087
```

Computed properties:
As for the space group: No. 122. Its calculated formation energy is 2.533 eV/f.u. The value obtained for the energy relative to the lowest polymorph listed for this composition is 354.5 meV per atom. The value obtained for the calculated total energy is -6.810 eV/atom. The density of states at the Fermi level comes out at 3.40 states/eV/f.u.


VASP calculation (GGA-PBE) on Cs3Ge4Pd after structural relaxation.

extended XYZ file:
```
16
Lattice="5.786 0.000 0.000 0.000 7.457 0.000 0.000 0.000 13.676" Properties=species:S:1:pos:R:3 pbc="T T T"
Cs 2.481 3.728 6.838
Ge 5.394 6.060 6.838
Ge 0.392 5.125 0.000
Ge 1.993 3.728 1.483
Cs 4.903 3.728 3.679
Pd 4.023 3.728 0.000
Cs 0.882 0.000 10.517
Ge 3.793 0.000 5.356
Ge 0.392 2.332 0.000
Cs 3.305 0.000 0.000
Cs 0.882 0.000 3.159
Pd 1.763 0.000 6.838
Ge 3.793 0.000 8.321
Ge 5.394 1.397 6.838
Cs 4.903 3.728 9.998
Ge 1.993 3.728 12.194
```

Computed properties:
As for the space group: No. 59. Its calculated formation energy is -1.974 eV/f.u. The value obtained for the calculated total energy is -3.525 eV/atom. The density of states at the Fermi level comes out at 2.28 states/eV/f.u.


VASP calculation (GGA-PBE) on B4Mo after structural relaxation.

extended XYZ file:
```
15
Lattice="2.751 -4.764 0.000 2.751 4.764 0.000 0.000 0.000 5.196" Properties=species:S:1:pos:R:3 pbc="T T T"
B 3.635 0.000 3.724
Mo 2.751 -1.588 0.000
B 1.867 0.000 1.472
B 1.817 -3.148 3.724
B 1.817 3.148 3.724
Mo 0.000 0.000 2.598
B 3.635 0.000 1.472
B 1.817 3.148 1.472
B 0.933 1.617 1.472
B 0.933 1.617 3.724
B 0.933 -1.617 1.472
Mo 2.751 1.588 0.000
B 0.933 -1.617 3.724
B 1.867 0.000 3.724
B 1.817 -3.148 1.472
```

Computed properties:
As for the space group: No. 191. Its calculated formation energy is -0.027 eV/f.u. The value obtained for the energy relative to the lowest polymorph listed for this composition is 0.0 meV per atom. The value obtained for the calculated total energy is -7.513 eV/atom. The density of states at the Fermi level comes out at 0.69 states/eV/f.u.


VASP calculation (GGA-PBE) on TbCeHg3 after structural relaxation.

extended XYZ file:
```
10
Lattice="5.984 0.000 0.000 0.000 7.508 -0.001 0.000 -3.753 6.503" Properties=species:S:1:pos:R:3 pbc="T T T"
Tb 4.488 3.752 2.168
Hg 4.488 1.444 5.167
Hg 4.488 -1.441 5.167
Ce 2.992 0.000 0.000
Hg 1.496 5.196 1.334
Ce 0.000 0.000 0.000
Hg 1.496 3.754 3.833
Hg 1.496 2.311 1.335
Hg 4.488 0.001 2.669
Tb 1.496 0.003 4.333
```

Computed properties:
As for the space group: No. 194. Its calculated formation energy is -0.293 eV/f.u. The value obtained for the energy relative to the lowest polymorph listed for this composition is 318.5 meV per atom. The value obtained for the calculated total energy is -2.352 eV/atom. The density of states at the Fermi level comes out at 9.03 states/eV/f.u.


VASP calculation (GGA-PBE) on In2GeO5 after structural relaxation.

extended XYZ file:
```
16
Lattice="4.022 0.000 0.000 -2.011 5.308 0.000 0.000 0.000 10.074" Properties=species:S:1:pos:R:3 pbc="T T T"
O 2.011 4.720 8.871
O 2.011 2.149 6.054
In 2.011 3.825 4.291
Ge 0.000 1.874 2.519
O 0.000 0.588 3.834
In 2.011 3.825 0.746
O 2.011 4.720 6.240
Ge 2.011 3.434 7.556
In 0.000 1.482 9.329
O 2.011 2.149 9.057
In 0.000 1.482 5.783
O 0.000 2.909 7.556
O 0.000 3.158 1.017
O 0.000 3.158 4.020
O 0.000 0.588 1.203
O 2.011 2.399 2.519
```

Computed properties:
As for the space group: No. 63. The value obtained for the energy relative to the lowest polymorph listed for this composition is 57.1 meV per atom. The value obtained for the calculated total energy is -5.894 eV/atom. The formation energy (no corrections) is -1533 meV/atom.


VASP calculation (GGA-PBE) on BaHoAlO4 after structural relaxation.

extended XYZ file:
```
14
Lattice="-2.800 -4.853 0.735 2.499 -2.162 -4.751 6.271 -0.466 3.510" Properties=species:S:1:pos:R:3 pbc="T T T"
Ba 0.247 -1.988 -0.728
Ho 2.528 -5.736 -1.348
Al 3.247 -3.022 -2.204
O 4.256 -2.446 -3.568
O 4.132 -4.165 -1.219
O 4.226 -3.608 2.102
O 3.099 -1.445 -1.368
O 1.838 -3.315 0.713
O 2.871 -6.036 0.862
Ba 5.723 -5.492 0.222
O 1.714 -5.035 3.062
Ho 3.443 -1.745 0.842
O 1.744 -3.872 -2.608
Al 2.723 -4.458 1.698
```

Computed properties:
As for the space group: No. 11. The value obtained for the calculated total energy is -7.386 eV/atom. The density of states at the Fermi level comes out at 0.00 states/eV/f.u. The formation energy (no corrections) is -3089 meV/atom.


Question: Look up the calculated total energy of the second one.
Answer: -3.525 eV/atom


Question: Look up the calculated total energy of the third one.
Answer: -7.513 eV/atom